# 1
Entry from the Alexandria database: a geometry-optimized LiUGa4 structure (GGA-PBE).

Cell lengths 2.9111, 4.5306, 8.1727 Å; angles 90.00, 90.00, 90.00 degrees
Closest atoms and distances in Å follow each position.
Sites, in units of the cell vectors:
Li (0.5000, 0.5000, 0.5000)  2 Li 2.91, 12 Ga 2.98-3.00
U (0.5000, 0.0000, 0.0000)  2 U 2.91, 12 Ga 3.06-3.17
Ga (0.0001, 0.0000, 0.6549)  3 Ga 2.53-2.64
Ga (0.0000, 0.5000, 0.8210)  5 Ga 2.64-2.93
Ga (0.9999, 0.0000, 0.3451)  3 Ga 2.53-2.64
Ga (0.0000, 0.5000, 0.1790)  5 Ga 2.64-2.93

Properties
Fermi-level density of states   4.78 states/eV/f.u.
Magnetic moment   2.37 μB/f.u.
Space group   Pmmm, No. 47
ΔE_f   -0.221 eV/atom


# 2
Entry from the Alexandria database: a geometry-optimized SN structure (GGA-PBE).

Cell lengths 2.6315, 4.2590, 6.9796 Å; angles 90.00, 90.00, 90.00 degrees
Closest atoms and distances in Å follow each position.
Sites, in units of the cell vectors:
S (0.5000, 0.0000, 0.9562)  2 N 1.64
S (0.5000, 0.5000, 0.4562)  2 N 1.64
N (0.0000, 0.0000, 0.0956)  2 S 1.64
N (0.0000, 0.5000, 0.5956)  2 S 1.64

Properties
Fermi-level density of states   0.22 states/eV/f.u.
Magnetic moment   0.00 μB/f.u.
Space group   Amm2, No. 38
Formation energy without anion corrections   762.1 meV/atom


# 3
Entry from the Alexandria database: a geometry-optimized ZrCdI6 structure (GGA-PBE).

Cell lengths 7.8230, 7.8230, 7.1513 Å; angles 90.32, 90.32, 120.08 degrees
Closest atoms and distances in Å follow each position.
Sites, in units of the cell vectors:
Zr (0.0000, 0.0000, 0.5000)  6 I 2.90
Cd (0.0000, 0.0000, 0.0000)  6 I 3.02
I (0.3011, 0.0004, 0.2660)  1 Zr 2.90, 1 Cd 3.02
I (0.0004, 0.3011, 0.2660)  1 Zr 2.90, 1 Cd 3.02
I (0.9996, 0.6989, 0.7340)  1 Zr 2.90, 1 Cd 3.02
I (0.6989, 0.9996, 0.7340)  1 Zr 2.90, 1 Cd 3.02
I (0.3012, 0.3012, 0.7398)  1 Zr 2.90, 1 Cd 3.02
I (0.6988, 0.6988, 0.2602)  1 Zr 2.90, 1 Cd 3.02

Properties
Fermi-level density of states   0.00 states/eV/f.u.
Magnetic moment   0.00 μB/f.u.
Space group   C2/m, No. 12
Formation energy without anion corrections   -752.8 meV/atom


# 4
Entry from the Alexandria database: a geometry-optimized Be2CuPd8 structure (GGA-PBE).

Cell lengths 3.9163, 6.7737, 6.7737 Å; angles 74.10, 81.89, 81.89 degrees
Closest atoms and distances in Å follow each position.
Sites, in units of the cell vectors:
Be (0.4343, 0.1297, 0.1297)  4 Pd 2.20-2.31, 2 Cu 2.39-2.40
Be (0.5657, 0.8703, 0.8703)  4 Pd 2.20-2.31, 2 Cu 2.39-2.40
Cu (0.0000, 0.0000, 0.0000)  4 Be 2.39-2.40, 6 Pd 2.50-2.53
Pd (0.7789, 0.1572, 0.6510)  1 Be 2.28, 1 Cu 2.53
Pd (0.2211, 0.3490, 0.8428)  1 Be 2.28, 1 Cu 2.53
Pd (0.8676, 0.2348, 0.2348)  2 Be 2.20-2.31
Pd (0.1324, 0.7652, 0.7652)  2 Be 2.20-2.31
Pd (0.7789, 0.6510, 0.1572)  1 Be 2.28, 1 Cu 2.53
Pd (0.2211, 0.8428, 0.3490)  1 Be 2.28, 1 Cu 2.53
Pd (0.2896, 0.4087, 0.4087)  10 Pd 2.67-2.85, 1 Be 2.97
Pd (0.7104, 0.5913, 0.5913)  10 Pd 2.67-2.85, 1 Be 2.97

Properties
Fermi-level density of states   11.40 states/eV/f.u.
Magnetic moment   0.00 μB/f.u.
Space group   C2/m, No. 12
Energy above the lowest structure with this stoichiometry   265 meV/atom
ΔE_f   0.073 eV/atom